1.
Computed, not measured: SrCaZr2 after structural relaxation at the PBE level of DFT.

Results
Distance to the lowest polymorph of the same formula   0.083 eV/atom
Volume   125.5 Å³ per cell
Total moment   0.00 μB per atom
Energy of formation   0.3504 eV/atom
Density   4.1 Mg/m³

Geometry as CIF:
```
data_SrCaZr2
_symmetry_space_group_name_H-M 'P 1'
_symmetry_Int_Tables_number 1
_symmetry_space_group_name_Hall 'P 1'
_cell_length_a 12.015
_cell_length_b 12.015
_cell_length_c 12.015
_cell_angle_alpha 16.74
_cell_angle_beta 16.74
_cell_angle_gamma 16.74
loop_
_atom_site_label
_atom_site_type_symbol
_atom_site_fract_x
_atom_site_fract_y
_atom_site_fract_z
Sr1 Sr 0.743 0.743 0.743
Ca1 Ca 0.509 0.509 0.509
Zr1 Zr 0.990 0.990 0.990
Zr2 Zr 0.258 0.258 0.258
```

***

2.
Computed, not measured: SrCaZr2 after structural relaxation at the PBE level of DFT.

Results
Distance to the lowest polymorph of the same formula   0.255 eV/atom
Volume   118.9 Å³ per cell
Total moment   0.17 μB per atom
Energy of formation   0.5215 eV/atom
Density   4.3 Mg/m³

Geometry as CIF:
```
data_SrCaZr2
_symmetry_space_group_name_H-M 'P 1'
_symmetry_Int_Tables_number 1
_symmetry_space_group_name_Hall 'P 1'
_cell_length_a 12.107
_cell_length_b 12.107
_cell_length_c 12.107
_cell_angle_alpha 16.09
_cell_angle_beta 16.09
_cell_angle_gamma 16.09
loop_
_atom_site_label
_atom_site_type_symbol
_atom_site_fract_x
_atom_site_fract_y
_atom_site_fract_z
Sr1 Sr 0.750 0.750 0.750
Ca1 Ca 0.250 0.250 0.250
Zr1 Zr 0.998 0.998 0.998
Zr2 Zr 0.502 0.502 0.502
```